Entry 1:
# PrMg10Zn2, relaxed, DFT GGA-PBE
data_PrMg10Zn2
_chemical_formula_sum 'Pr4 Mg40 Zn8'
_symmetry_space_group_name_H-M 'F m m m'
_symmetry_Int_Tables_number 69
_symmetry_space_group_name_Hall '-F 2 2'
_cell_length_a 5.815
_cell_length_b 14.106
_cell_length_c 14.165
_cell_angle_alpha 90.00
_cell_angle_beta 90.00
_cell_angle_gamma 90.00
loop_
_atom_site_label
_atom_site_type_symbol
_atom_site_fract_x
_atom_site_fract_y
_atom_site_fract_z
Pr1 Pr 0.000 0.000 0.000
Mg1 Mg 0.000 0.112 0.397
Mg2 Mg 0.000 0.180 0.168
Mg3 Mg 0.250 0.000 0.250
Zn1 Zn 0.250 0.250 0.000
# - uncorrected energy (eV for the cell shown) = -98.1
# - ΔH_f (0 K) (eV/atom) = -0.10

Entry 2:
# Ta2InPt, relaxed, DFT GGA-PBE
data_Ta2InPt
_chemical_formula_sum 'Ta4 In2 Pt2'
_symmetry_space_group_name_H-M 'I -4 m 2'
_symmetry_Int_Tables_number 119
_symmetry_space_group_name_Hall 'I -4 -2'
_cell_length_a 4.042
_cell_length_b 4.042
_cell_length_c 8.848
_cell_angle_alpha 90.00
_cell_angle_beta 90.00
_cell_angle_gamma 90.00
loop_
_atom_site_label
_atom_site_type_symbol
_atom_site_fract_x
_atom_site_fract_y
_atom_site_fract_z
Ta1 Ta 0.000 0.000 0.000
Ta2 Ta 0.000 0.500 0.250
In1 In 0.000 0.500 0.750
Pt1 Pt 0.000 0.000 0.500
# - uncorrected energy (eV for the cell shown) = -65.5
# - ΔH_f (0 K) (eV/atom) = -0.07

Entry 3:
# LaTcRh2, relaxed, DFT GGA-PBE
data_LaTcRh2
_chemical_formula_sum 'La1 Tc1 Rh2'
_symmetry_space_group_name_H-M 'P 4 m m'
_symmetry_Int_Tables_number 99
_cell_length_a 3.230
_cell_length_b 3.230
_cell_length_c 7.151
_cell_angle_alpha 90.00
_cell_angle_beta 90.00
_cell_angle_gamma 90.00
loop_
_symmetry_equiv_pos_as_xyz
'x,y,z'
'-y,x,z'
'-x,-y,z'
'y,-x,z'
'-x,y,z'
'y,x,z'
'x,-y,z'
'-y,-x,z'
loop_
_atom_site_label
_atom_site_type_symbol
_atom_site_fract_x
_atom_site_fract_y
_atom_site_fract_z
La1 La 0.000 0.000 0.000
Tc1 Tc 0.500 0.500 0.666
Rh1 Rh 0.000 0.000 0.503
Rh2 Rh 0.500 0.500 0.277
# - offset from the most stable computed form (meV per atom) = 158
# - uncorrected energy (eV for the cell shown) = -29.6
# - ΔH_f (0 K) (eV/atom) = 0.10

Entry 4:
# Ba2NaSr5, relaxed, DFT GGA-PBE
data_Ba2NaSr5
_chemical_formula_sum 'Ba2 Na1 Sr5'
_symmetry_space_group_name_H-M 'P 4/m m m'
_symmetry_Int_Tables_number 123
_symmetry_space_group_name_Hall '-P 4 2'
_cell_length_a 8.898
_cell_length_b 8.898
_cell_length_c 6.403
_cell_angle_alpha 90.00
_cell_angle_beta 90.00
_cell_angle_gamma 90.00
loop_
_atom_site_label
_atom_site_type_symbol
_atom_site_fract_x
_atom_site_fract_y
_atom_site_fract_z
Ba1 Ba 0.000 0.500 0.000
Na1 Na 0.000 0.000 0.500
Sr1 Sr 0.000 0.000 0.000
Sr2 Sr 0.268 0.268 0.500
# - offset from the most stable computed form (meV per atom) = 253
# - uncorrected energy (eV for the cell shown) = -11.4
# - ΔH_f (0 K) (eV/atom) = 0.27

> Among the records above, which one has the lowest uncorrected energy?

PrMg10Zn2